# PBE CrNi2RhN, optimized geometry
# E_form (uncorrected) (eV per atom): 0.95
# Total magnetization (μB/f.u.): 0.0
# Total energy (eV/cell): -32.1
# Offset from the most stable computed form (meV/atom): 972
data_CrNi2RhN
_cell_length_a 4.3519
_cell_length_b 4.3519
_cell_length_c 3.4920
_cell_angle_alpha 90.00
_cell_angle_beta 90.00
_cell_angle_gamma 90.00
_space_group_name_H-M_alt 'P 4/m m m'
_space_group_IT_number 123
_space_group_name_Hall '-P 4 2'
loop_
_atom_site_label
_atom_site_fract_x
_atom_site_fract_y
_atom_site_fract_z
_atom_site_occupancy
Cr1 0.0000 0.0000 0.0000 1
Ni1 0.0000 0.5000 0.0000 1
Rh1 0.5000 0.5000 0.5000 1
N1 0.0000 0.0000 0.5000 1